# 1
CaIrIO2 | Alexandria | PBEsol | relaxed; total moment = 3.37 μB per formula unit; V = 21.02 Å³ per atom; uncorrected formation energy = 0.34 eV per atom
1.0
4.099 0.000 0.000
0.000 4.099 0.000
0.000 0.000 6.254
Ca Ir I O
1 1 1 2
Direct
0.000 0.000 0.000
0.500 0.500 0.500
0.000 0.000 0.500
0.000 0.500 0.000
0.500 0.000 0.000

***

# 2
HgBSN2 | Alexandria | PBEsol | relaxed; total moment = 3.44 μB per formula unit; V = 18.06 Å³ per atom; uncorrected formation energy = 2.75 eV per atom
1.0
4.117 0.000 0.000
0.000 4.117 0.000
0.000 0.000 5.327
Hg B S N
1 1 1 2
Direct
0.000 0.000 0.000
0.500 0.500 0.500
0.000 0.000 0.500
0.000 0.500 0.000
0.500 0.000 0.000

***

# 3
FeBO2F | Alexandria | PBEsol | relaxed; total moment = 4.00 μB per formula unit; V = 7.62 Å³ per atom; uncorrected formation energy = -0.86 eV per atom
1.0
3.286 0.000 0.000
0.000 3.286 0.000
0.000 0.000 3.527
Fe B O F
1 1 2 1
Direct
0.000 0.000 0.000
0.500 0.500 0.500
0.000 0.500 0.500
0.500 0.000 0.500
0.500 0.500 0.000

***

# 4
FeIr2W | Alexandria | PBEsol | relaxed; energy relative to the elements = -0.20 eV per atom; total moment = 2.37 μB per formula unit; relative energy among the computed polymorphs = 29 meV per atom; V = 13.77 Å³ per atom
1.0
2.721 0.000 0.000
0.000 3.745 0.000
0.000 0.000 5.405
Fe Ir W
1 2 1
Direct
0.000 0.000 0.000
0.500 0.500 0.241
0.500 0.500 0.759
0.000 0.000 0.500

***

# 5
CaZn2Rh2 | Alexandria | PBEsol | relaxed; energy relative to the elements = -0.35 eV per atom; total moment = 0.00 μB per formula unit; V = 15.64 Å³ per atom
1.0
7.273 0.000 0.000
0.000 7.273 0.000
0.000 0.000 2.957
Ca Zn Rh
2 4 4
Direct
0.000 0.000 0.000
0.500 0.500 0.000
0.154 0.346 0.500
0.346 0.846 0.500
0.654 0.154 0.500
0.846 0.654 0.500
0.140 0.640 0.000
0.360 0.140 0.000
0.640 0.860 0.000
0.860 0.360 0.000

***

# 6
Re2SeBr | Alexandria | PBEsol | relaxed; total moment = 0.00 μB per formula unit; relative energy among the computed polymorphs = 0 meV per atom; V = 19.03 Å³ per atom; uncorrected formation energy = 0.55 eV per atom
1.0
-1.485 1.512 8.478
1.485 -1.512 8.478
1.485 1.512 -8.478
Re Se Br
2 1 1
Direct
0.000 0.000 0.000
0.878 0.378 0.500
0.292 0.792 0.500
0.598 0.598 0.000

***

# 7
LaCo2Pb | Alexandria | PBEsol | relaxed; energy relative to the elements = 0.15 eV per atom; total moment = 2.52 μB per formula unit; V = 19.03 Å³ per atom
1.0
3.214 0.000 0.000
0.000 3.214 0.000
0.000 0.000 7.366
La Co Pb
1 2 1
Direct
0.000 0.000 0.000
0.000 0.000 0.612
0.500 0.500 0.739
0.500 0.500 0.373

***

# 8
TlAgPb2 | Alexandria | PBEsol | relaxed; energy relative to the elements = 0.06 eV per atom; total moment = 0.00 μB per formula unit; relative energy among the computed polymorphs = 25 meV per atom; V = 25.45 Å³ per atom
1.0
3.441 0.000 0.000
0.000 3.441 0.000
0.000 0.000 8.597
Tl Ag Pb
1 1 2
Direct
0.000 0.000 0.000
0.500 0.500 0.213
0.000 0.000 0.431
0.500 0.500 0.720

***

# 9
Hf2ScTlRe | Alexandria | PBEsol | relaxed; energy relative to the elements = 1.88 eV per atom; total moment = 0.37 μB per formula unit; V = 25.97 Å³ per atom
1.0
5.114 0.000 0.000
0.000 5.114 0.000
0.000 0.000 4.966
Hf Sc Tl Re
2 1 1 1
Direct
0.000 0.500 0.000
0.500 0.000 0.000
0.000 0.000 0.500
0.000 0.000 0.000
0.500 0.500 0.500

***

# 10
SrTaTe2I | Alexandria | PBEsol | relaxed; total moment = 0.00 μB per formula unit; V = 32.59 Å³ per atom; uncorrected formation energy = -0.36 eV per atom
1.0
5.424 0.000 0.000
0.000 5.424 0.000
0.000 0.000 5.539
Sr Ta Te I
1 1 2 1
Direct
0.000 0.000 0.000
0.500 0.500 0.500
0.000 0.500 0.500
0.500 0.000 0.500
0.500 0.500 0.000

***

# 11
Mg2CoIr | Alexandria | PBEsol | relaxed; energy relative to the elements = -0.01 eV per atom; total moment = 1.98 μB per formula unit; relative energy among the computed polymorphs = 0 meV per atom; V = 14.37 Å³ per atom
1.0
0.000 3.063 3.063
3.063 0.000 3.063
3.063 3.063 0.000
Mg Co Ir
2 1 1
Direct
0.000 0.000 0.000
0.250 0.250 0.250
0.750 0.750 0.750
0.500 0.500 0.500

***

# 12
Ca2TcSe | Alexandria | PBEsol | relaxed; total moment = 1.03 μB per formula unit; V = 22.06 Å³ per atom; uncorrected formation energy = -0.25 eV per atom
1.0
5.605 -1.660 0.000
5.605 1.660 0.000
-1.537 0.000 4.741
Ca Tc Se
2 1 1
Direct
0.000 0.000 0.000
0.205 0.205 0.647
0.781 0.781 0.213
0.441 0.441 0.460